Record 1
This record from Alexandria describes a relaxed HgPdN2F crystal. The functional is PBE.

Cell lengths 4.194, 4.194, 4.704 Å; angles 90.00, 90.00, 90.00 degrees
Fractional positions:
N 0.000 0.500 0.000
N 0.500 0.000 0.000
Hg 0.000 0.000 0.000
Pd 0.500 0.500 0.500
F 0.000 0.000 0.500

## Properties
- Raw formation energy: 1.67 eV/atom
- E above lowest polymorph: 68.69 kJ/mol of atoms
- Calculated density: 7.10 g/cm³

***

Record 2
This record from Alexandria describes a relaxed Ca2Ni10H crystal. The functional is PBE.

Cell lengths 4.945, 4.945, 7.906 Å; angles 90.00, 90.00, 119.60 degrees
Fractional positions:
Ca 0.000 0.000 0.758
Ca 0.000 0.000 0.242
Ni 0.336 0.664 0.751
Ni 0.665 0.335 0.751
Ni 0.498 0.502 0.500
Ni 0.995 0.496 0.500
Ni 0.504 0.005 0.500
Ni 0.336 0.664 0.249
Ni 0.665 0.335 0.249
Ni 0.500 0.500 0.000
Ni 0.000 0.500 0.000
Ni 0.500 0.000 0.000
H 0.139 0.861 0.500

## Properties
- E above lowest polymorph: 1.61 kJ/mol of atoms
- Calculated density: 6.60 g/cm³

***

Record 3
This record from Alexandria describes a relaxed InAsBr2 crystal. The functional is PBE.

Cell lengths 8.210, 8.210, 8.210 Å; angles 153.34, 149.55, 40.91 degrees
Fractional positions:
As 0.290 0.790 0.500
Br 0.013 0.013 0.000
Br 0.764 0.264 0.500
In 0.433 0.433 0.000

## Properties
- Raw formation energy: -0.12 eV/atom
- E above lowest polymorph: 19.80 kJ/mol of atoms
- Calculated density: 4.62 g/cm³

***

Record 4
This record from Alexandria describes a relaxed LiAcCdSn2 crystal. The functional is PBE.

Cell lengths 4.671, 4.671, 7.065 Å; angles 109.30, 109.30, 90.00 degrees
Fractional positions:
Li 0.750 0.250 0.500
Ac 0.000 0.000 0.000
Cd 0.250 0.750 0.500
Sn 0.616 0.616 0.231
Sn 0.384 0.384 0.769

## Properties
- Calculated density: 7.11 g/cm³
- Formation enthalpy at 0 K: -0.486 eV/atom

***

Record 5
This record from Alexandria describes a relaxed KC3 crystal. The functional is PBE.

Cell lengths 4.781, 4.781, 4.781 Å; angles 148.48, 96.56, 91.91 degrees
Fractional positions:
K 0.568 0.000 0.568
C 0.170 0.112 0.058
C 0.947 0.888 0.058
C 0.149 0.500 0.649

## Properties
- E above lowest polymorph: 102.39 kJ/mol of atoms
- Calculated density: 2.27 g/cm³
- Formation enthalpy at 0 K: 1.632 eV/atom

***

Record 6
This record from Alexandria describes a relaxed BeCu5Pd8 crystal. The functional is PBE.

Cell lengths 6.384, 6.384, 6.384 Å; angles 110.74, 106.95, 110.74 degrees
Fractional positions:
Be 0.250 0.500 0.750
Cu 0.936 0.403 0.114
Cu 0.886 0.823 0.289
Cu 0.711 0.597 0.533
Cu 0.500 0.000 0.500
Cu 0.467 0.177 0.064
Pd 0.083 0.751 0.978
Pd 0.022 0.105 0.773
Pd 0.838 0.246 0.430
Pd 0.570 0.408 0.816
Pd 0.408 0.592 0.162
Pd 0.668 0.895 0.917
Pd 0.227 0.249 0.332
Pd 0.184 0.754 0.592

## Properties
- Calculated density: 9.78 g/cm³
- Formation enthalpy at 0 K: -0.055 eV/atom

***

Record 7
This record from Alexandria describes a relaxed SrLaTa2O8 crystal. The functional is PBE.

Cell lengths 5.486, 5.486, 7.021 Å; angles 113.00, 113.00, 90.00 degrees
Fractional positions:
Sr 0.750 0.250 0.500
La 0.000 0.000 0.000
Ta 0.500 0.500 0.000
Ta 0.250 0.750 0.500
O 0.755 0.822 0.172
O 0.416 0.349 0.172
O 0.578 0.682 0.680
O 0.102 0.998 0.680
O 0.002 0.422 0.320
O 0.318 0.898 0.320
O 0.178 0.584 0.828
O 0.651 0.245 0.828

## Properties
- Raw formation energy: -2.91 eV/atom
- Calculated density: 6.75 g/cm³

***

Record 8
This record from Alexandria describes a relaxed Tc3HgN crystal. The functional is PBE.

Cell lengths 4.126, 4.126, 4.126 Å; angles 90.00, 90.00, 90.00 degrees
Fractional positions:
N 0.000 0.000 0.000
Hg 0.500 0.500 0.500
Tc 0.000 0.500 0.000
Tc 0.000 0.000 0.500
Tc 0.500 0.000 0.000

## Properties
- Raw formation energy: 0.26 eV/atom
- E above lowest polymorph: 0.00 kJ/mol of atoms
- Calculated density: 12.02 g/cm³